# PuPaTi, optimized geometry, DFT PBE
# Distance to the lowest polymorph of the same formula ... 34 meV/atom
# V ... 258.4 Å³ per cell
# Calculated formation energy ... 11.44 kJ/mol of atoms
# Total magnetization ... 18.0 μB per cell
# Crystal system ... monoclinic
data_PuPaTi
_chemical_formula_sum 'Pu4 Pa4 Ti4'
_cell_length_a 10.145
_cell_length_b 3.110
_cell_length_c 8.249
_cell_angle_alpha 90.00
_cell_angle_beta 96.75
_cell_angle_gamma 90.00
_symmetry_space_group_name_H-M 'C 1 2/m 1'
_symmetry_Int_Tables_number 12
_symmetry_space_group_name_Hall '-C 2y'
loop_
_atom_site_label
_atom_site_type_symbol
_atom_site_fract_x
_atom_site_fract_y
_atom_site_fract_z
Pu1 Pu 0.104 0.000 0.245
Pa1 Pa 0.139 0.000 0.606
Ti1 Ti 0.134 0.500 0.935

---

# PuPaTi, optimized geometry, DFT PBE
# Distance to the lowest polymorph of the same formula ... 0 meV/atom
# V ... 63.0 Å³ per cell
# Calculated formation energy ... 8.18 kJ/mol of atoms
# Total magnetization ... 4.1 μB per cell
# Crystal system ... hexagonal
data_PuPaTi
_chemical_formula_sum 'Pu1 Pa1 Ti1'
_cell_length_a 4.9174
_cell_length_b 4.9174
_cell_length_c 3.0064
_cell_angle_alpha 90.00
_cell_angle_beta 90.00
_cell_angle_gamma 120.00
_symmetry_space_group_name_H-M 'P -6 m 2'
_symmetry_Int_Tables_number 187
_symmetry_space_group_name_Hall 'P -6 2'
loop_
_atom_site_label
_atom_site_type_symbol
_atom_site_fract_x
_atom_site_fract_y
_atom_site_fract_z
Pu1 Pu 0.0000 0.0000 0.0000
Pa1 Pa 0.6667 0.3333 0.0000
Ti1 Ti 0.3333 0.6667 0.5000

---

# PuPaTi, optimized geometry, DFT PBE
# Distance to the lowest polymorph of the same formula ... 26 meV/atom
# V ... 117.0 Å³ per cell
# Calculated formation energy ... 10.68 kJ/mol of atoms
# Total magnetization ... 0.0 μB per cell
# Crystal system ... triclinic
data_PuPaTi
_chemical_formula_sum 'Pu2 Pa2 Ti2'
_cell_length_a 3.296
_cell_length_b 5.567
_cell_length_c 6.933
_cell_angle_alpha 103.65
_cell_angle_beta 93.87
_cell_angle_gamma 106.98
_symmetry_space_group_name_H-M 'P -1'
_symmetry_Int_Tables_number 2
_symmetry_space_group_name_Hall '-P 1'
loop_
_atom_site_label
_atom_site_type_symbol
_atom_site_fract_x
_atom_site_fract_y
_atom_site_fract_z
Pu1 Pu 0.190 0.369 0.048
Pa1 Pa 0.371 0.024 0.236
Ti1 Ti 0.169 0.333 0.575

---

# PuPa4Ti, optimized geometry, DFT PBE
# Distance to the lowest polymorph of the same formula ... 113 meV/atom
# V ... 553.9 Å³ per cell
# Calculated formation energy ... 18.11 kJ/mol of atoms
# Total magnetization ... 17.6 μB per cell
# Crystal system ... orthorhombic
data_PuPa4Ti
_chemical_formula_sum 'Pu4 Pa16 Ti4'
_cell_length_a 5.865
_cell_length_b 10.384
_cell_length_c 9.094
_cell_angle_alpha 90.00
_cell_angle_beta 90.00
_cell_angle_gamma 90.00
_symmetry_space_group_name_H-M 'I m m a'
_symmetry_Int_Tables_number 74
_symmetry_space_group_name_Hall '-I 2b 2'
loop_
_atom_site_label
_atom_site_type_symbol
_atom_site_fract_x
_atom_site_fract_y
_atom_site_fract_z
Pu1 Pu 0.000 0.000 0.000
Pa1 Pa 0.000 0.004 0.332
Pa2 Pa 0.249 0.250 0.922
Ti1 Ti 0.250 0.250 0.250

---

# PuPaTiV, optimized geometry, DFT PBE
# V ... 308.8 Å³ per cell
# Calculated formation energy ... 9.41 kJ/mol of atoms
# Total magnetization ... 18.9 μB per cell
# Crystal system ... cubic
data_PuPaTiV
_chemical_formula_sum 'Pu4 Pa4 Ti4 V4'
_cell_length_a 6.759
_cell_length_b 6.759
_cell_length_c 6.759
_cell_angle_alpha 90.00
_cell_angle_beta 90.00
_cell_angle_gamma 90.00
_symmetry_space_group_name_H-M 'F -4 3 m'
_symmetry_Int_Tables_number 216
_symmetry_space_group_name_Hall 'F -4 2 3'
loop_
_atom_site_label
_atom_site_type_symbol
_atom_site_fract_x
_atom_site_fract_y
_atom_site_fract_z
Pu1 Pu 0.000 0.000 0.000
Pa1 Pa 0.250 0.250 0.750
Ti1 Ti 0.250 0.250 0.250
V1 V 0.000 0.000 0.500

---

# PuPaTiW, optimized geometry, DFT PBE
# V ... 314.8 Å³ per cell
# Calculated formation energy ... 15.50 kJ/mol of atoms
# Total magnetization ... 23.0 μB per cell
# Crystal system ... cubic
data_PuPaTiW
_chemical_formula_sum 'Pu4 Pa4 Ti4 W4'
_cell_length_a 6.803
_cell_length_b 6.803
_cell_length_c 6.803
_cell_angle_alpha 90.00
_cell_angle_beta 90.00
_cell_angle_gamma 90.00
_symmetry_space_group_name_H-M 'F -4 3 m'
_symmetry_Int_Tables_number 216
_symmetry_space_group_name_Hall 'F -4 2 3'
loop_
_atom_site_label
_atom_site_type_symbol
_atom_site_fract_x
_atom_site_fract_y
_atom_site_fract_z
Pu1 Pu 0.000 0.000 0.000
Pa1 Pa 0.250 0.250 0.250
Ti1 Ti 0.250 0.250 0.750
W1 W 0.000 0.000 0.500

---

# PuZrPaTi, optimized geometry, DFT PBE
# V ... 363.7 Å³ per cell
# Calculated formation energy ... 25.04 kJ/mol of atoms
# Total magnetization ... 28.1 μB per cell
# Crystal system ... cubic
data_PuZrPaTi
_chemical_formula_sum 'Pu4 Zr4 Pa4 Ti4'
_cell_length_a 7.138
_cell_length_b 7.138
_cell_length_c 7.138
_cell_angle_alpha 90.00
_cell_angle_beta 90.00
_cell_angle_gamma 90.00
_symmetry_space_group_name_H-M 'F -4 3 m'
_symmetry_Int_Tables_number 216
_symmetry_space_group_name_Hall 'F -4 2 3'
loop_
_atom_site_label
_atom_site_type_symbol
_atom_site_fract_x
_atom_site_fract_y
_atom_site_fract_z
Pu1 Pu 0.000 0.000 0.000
Zr1 Zr 0.250 0.250 0.750
Pa1 Pa 0.000 0.000 0.500
Ti1 Ti 0.250 0.250 0.250

---

# Pu2PaTl, optimized geometry, DFT PBE
# Distance to the lowest polymorph of the same formula ... 362 meV/atom
# V ... 314.5 Å³ per cell
# Calculated formation energy ... 41.47 kJ/mol of atoms
# Total magnetization ... 32.9 μB per cell
# Crystal system ... trigonal
data_Pu2PaTl
_chemical_formula_sum 'Pu6 Pa3 Tl3'
_cell_length_a 4.0403
_cell_length_b 4.0403
_cell_length_c 22.2440
_cell_angle_alpha 90.00
_cell_angle_beta 90.00
_cell_angle_gamma 120.00
_symmetry_space_group_name_H-M 'R -3 m'
_symmetry_Int_Tables_number 166
_symmetry_space_group_name_Hall '-R 3 2"'
loop_
_atom_site_label
_atom_site_type_symbol
_atom_site_fract_x
_atom_site_fract_y
_atom_site_fract_z
Pu1 Pu 0.0000 0.0000 0.2316
Pa1 Pa 0.0000 0.0000 0.5000
Tl1 Tl 0.0000 0.0000 0.0000

---

# PuPaTl, optimized geometry, DFT PBE
# Distance to the lowest polymorph of the same formula ... 74 meV/atom
# V ... 75.2 Å³ per cell
# Calculated formation energy ... 19.14 kJ/mol of atoms
# Total magnetization ... 7.0 μB per cell
# Crystal system ... hexagonal
data_PuPaTl
_chemical_formula_sum 'Pu1 Pa1 Tl1'
_cell_length_a 5.1539
_cell_length_b 5.1539
_cell_length_c 3.2694
_cell_angle_alpha 90.00
_cell_angle_beta 90.00
_cell_angle_gamma 120.00
_symmetry_space_group_name_H-M 'P -6 m 2'
_symmetry_Int_Tables_number 187
_symmetry_space_group_name_Hall 'P -6 2'
loop_
_atom_site_label
_atom_site_type_symbol
_atom_site_fract_x
_atom_site_fract_y
_atom_site_fract_z
Pu1 Pu 0.0000 0.0000 0.0000
Pa1 Pa 0.3333 0.6667 0.0000
Tl1 Tl 0.6667 0.3333 0.5000

---

# Pu2PaTl, optimized geometry, DFT PBE
# Distance to the lowest polymorph of the same formula ... 49 meV/atom
# V ... 103.2 Å³ per cell
# Calculated formation energy ... 11.26 kJ/mol of atoms
# Total magnetization ... 12.3 μB per cell
# Crystal system ... tetragonal
data_Pu2PaTl
_chemical_formula_sum 'Pu2 Pa1 Tl1'
_cell_length_a 4.639
_cell_length_b 4.639
_cell_length_c 4.794
_cell_angle_alpha 90.00
_cell_angle_beta 90.00
_cell_angle_gamma 90.00
_symmetry_space_group_name_H-M 'P 4/m m m'
_symmetry_Int_Tables_number 123
_symmetry_space_group_name_Hall '-P 4 2'
loop_
_atom_site_label
_atom_site_type_symbol
_atom_site_fract_x
_atom_site_fract_y
_atom_site_fract_z
Pu1 Pu 0.000 0.500 0.000
Pa1 Pa 0.000 0.000 0.500
Tl1 Tl 0.500 0.500 0.500

---

# PuPaTl, optimized geometry, DFT PBE
# Distance to the lowest polymorph of the same formula ... 0 meV/atom
# V ... 151.7 Å³ per cell
# Calculated formation energy ... 12.04 kJ/mol of atoms
# Total magnetization ... 13.2 μB per cell
# Crystal system ... tetragonal
data_PuPaTl
_chemical_formula_sum 'Pu2 Pa2 Tl2'
_cell_length_a 3.831
_cell_length_b 3.831
_cell_length_c 10.332
_cell_angle_alpha 90.00
_cell_angle_beta 90.00
_cell_angle_gamma 90.00
_symmetry_space_group_name_H-M 'I 4 m m'
_symmetry_Int_Tables_number 107
_symmetry_space_group_name_Hall 'I 4 -2'
loop_
_atom_site_label
_atom_site_type_symbol
_atom_site_fract_x
_atom_site_fract_y
_atom_site_fract_z
Pu1 Pu 0.000 0.000 0.000
Pa1 Pa 0.000 0.000 0.374
Tl1 Tl 0.000 0.000 0.685

---

# PuPaTl, optimized geometry, DFT PBE
# Distance to the lowest polymorph of the same formula ... 433 meV/atom
# V ... 343.8 Å³ per cell
# Calculated formation energy ... 53.83 kJ/mol of atoms
# Total magnetization ... 26.7 μB per cell
# Crystal system ... cubic
data_PuPaTl
_chemical_formula_sum 'Pu4 Pa4 Tl4'
_cell_length_a 7.006
_cell_length_b 7.006
_cell_length_c 7.006
_cell_angle_alpha 90.00
_cell_angle_beta 90.00
_cell_angle_gamma 90.00
_symmetry_space_group_name_H-M 'P 21 3'
_symmetry_Int_Tables_number 198
_symmetry_space_group_name_Hall 'P 2ac 2ab 3'
loop_
_atom_site_label
_atom_site_type_symbol
_atom_site_fract_x
_atom_site_fract_y
_atom_site_fract_z
Pu1 Pu 0.067 0.433 0.567
Pa1 Pa 0.046 0.546 0.954
Tl1 Tl 0.190 0.190 0.190

---

# Pu2PaTl, optimized geometry, DFT PBE
# Distance to the lowest polymorph of the same formula ... 0 meV/atom
# V ... 102.2 Å³ per cell
# Calculated formation energy ... 6.55 kJ/mol of atoms
# Total magnetization ... 11.1 μB per cell
# Crystal system ... tetragonal
data_Pu2PaTl
_chemical_formula_sum 'Pu2 Pa1 Tl1'
_cell_length_a 3.375
_cell_length_b 3.375
_cell_length_c 8.975
_cell_angle_alpha 90.00
_cell_angle_beta 90.00
_cell_angle_gamma 90.00
_symmetry_space_group_name_H-M 'P 4/m m m'
_symmetry_Int_Tables_number 123
_symmetry_space_group_name_Hall '-P 4 2'
loop_
_atom_site_label
_atom_site_type_symbol
_atom_site_fract_x
_atom_site_fract_y
_atom_site_fract_z
Pu1 Pu 0.000 0.000 0.232
Pa1 Pa 0.500 0.500 0.000
Tl1 Tl 0.500 0.500 0.500

---

# Pu2PaTl, optimized geometry, DFT PBE
# Distance to the lowest polymorph of the same formula ... 160 meV/atom
# V ... 406.4 Å³ per cell
# Calculated formation energy ... 22.02 kJ/mol of atoms
# Total magnetization ... 54.7 μB per cell
# Crystal system ... cubic
data_Pu2PaTl
_chemical_formula_sum 'Pu8 Pa4 Tl4'
_cell_length_a 7.407
_cell_length_b 7.407
_cell_length_c 7.407
_cell_angle_alpha 90.00
_cell_angle_beta 90.00
_cell_angle_gamma 90.00
_symmetry_space_group_name_H-M 'F m -3 m'
_symmetry_Int_Tables_number 225
_symmetry_space_group_name_Hall '-F 4 2 3'
loop_
_atom_site_label
_atom_site_type_symbol
_atom_site_fract_x
_atom_site_fract_y
_atom_site_fract_z
Pu1 Pu 0.250 0.250 0.250
Pa1 Pa 0.000 0.000 0.000
Tl1 Tl 0.000 0.000 0.500